[1]
NdLu2Mn | PBE | relaxed

Cell: 3.4243 3.4243 8.9562 Å, 90.00 90.00 90.00°
Closest atoms and distances in Å follow each position.
Positions (direct):
Lu 0.0000 0.0000 0.1897  4 Mn 2.96
Lu 0.0000 0.0000 0.8103  4 Mn 2.96
Nd 0.5000 0.5000 0.5000  4 Nd 3.42, 8 Lu 3.69
Mn 0.5000 0.5000 0.0000  8 Lu 2.96

Calculated values
M_tot   0.69 μB/atom
Calculated total energy   -5.65 eV per atom
Calculated volume   26.26 Å³ per atom
DOS at the Fermi energy   5.51 states/eV/cell
Symmetry   P4/mmm



[2]
BaGaBMo2 | PBE | relaxed

Cell: 4.5369 4.4374 4.5369 Å, 90.00 90.00 90.00°
Closest atoms and distances in Å follow each position.
Positions (direct):
Mo 0.0000 0.0000 0.5000  2 B 2.27
Mo 0.5000 0.0000 0.0000  2 B 2.27
Ga 0.0000 0.5000 0.0000  2 B 2.22
B 0.0000 0.0000 0.0000  2 Ga 2.22, 4 Mo 2.27
Ba 0.5000 0.5000 0.5000  8 Mo 3.17, 4 Ga 3.21

Calculated values
M_tot   0.31 μB/atom
Calculated total energy   -5.87 eV per atom
Calculated volume   18.27 Å³ per atom
DOS at the Fermi energy   4.68 states/eV/cell
Symmetry   P4/mmm



[3]
SbMo2N | PBE | relaxed

Cell: 5.3009 5.3009 6.5304 Å, 66.05 66.05 90.00°
Closest atoms and distances in Å follow each position.
Positions (direct):
Mo 0.2557 0.6250 0.2500  2 N 1.99
Mo 0.4943 0.1250 0.2500  2 N 1.99
Mo 0.3750 0.5057 0.7500  2 N 1.99
Mo 0.8750 0.7443 0.7500  2 N 1.99
N 0.2500 0.7500 0.5000  4 Mo 1.99
N 0.5000 0.5000 0.0000  4 Mo 1.99
Sb 0.7500 0.2500 0.5000  4 Mo 2.76
Sb 0.0000 0.0000 0.0000  4 Mo 2.76

Calculated values
M_tot   0.45 μB/atom
Calculated volume   18.78 Å³ per atom
DOS at the Fermi energy   6.38 states/eV/cell
Formation energy without anion corrections   333 meV/atom
Symmetry   I-42d



[4]
NdCuSbH | PBE | relaxed

Cell: 4.3589 4.3581 4.4431 Å, 89.99 90.00 120.01°
Closest atoms and distances in Å follow each position.
Positions (direct):
Cu 0.2384 0.4768 0.2253  1 H 1.66
H 0.2387 0.4774 0.8507  1 Cu 1.66
Sb 0.5719 0.1438 0.3460  3 Cu 2.57
Nd 0.9053 0.8107 0.8171  3 H 2.52

Calculated values
M_tot   0.00 μB/atom
Calculated total energy   -4.77 eV per atom
Calculated volume   18.27 Å³ per atom
DOS at the Fermi energy   0.05 states/eV/cell
Symmetry   P3m1



[5]
Nd3SmAl | PBE | relaxed

Cell: 5.2969 9.5652 5.8155 Å, 145.32 90.00 90.00°
Closest atoms and distances in Å follow each position.
Positions (direct):
Nd 0.5000 0.4374 0.8748  2 Al 3.09, 1 Sm 3.11
Nd 0.0000 0.3512 0.3321  1 Al 3.01
Nd 0.0000 0.9809 0.3321  1 Al 3.01
Sm 0.5000 0.9067 0.8134  2 Al 3.05, 1 Nd 3.11
Al 0.0000 0.6784 0.3568  4 Nd 3.01-3.09, 2 Sm 3.05

Calculated values
M_tot   0.00 μB/atom
Calculated total energy   -4.47 eV per atom
Calculated volume   33.53 Å³ per atom
DOS at the Fermi energy   5.73 states/eV/cell
Symmetry   Amm2



[6]
InGaP2Cl | PBE | relaxed

Cell: 5.1778 5.1778 5.4772 Å, 90.00 90.00 90.00°
Closest atoms and distances in Å follow each position.
Positions (direct):
In 0.0000 0.0000 0.0000  4 P 2.59, 2 Cl 2.74
Cl 0.0000 0.0000 0.5000  2 In 2.74
P 0.5000 0.0000 0.0000  2 In 2.59
P 0.0000 0.5000 0.0000  2 In 2.59
Ga 0.5000 0.5000 0.5000  4 Cl 3.66, 8 P 3.77

Calculated values
M_tot   0.27 μB/atom
Calculated volume   29.37 Å³ per atom
DOS at the Fermi energy   2.85 states/eV/cell
Formation energy without anion corrections   550 meV/atom
Symmetry   P4/mmm



[7]
LiBe2Re | PBE | relaxed

Cell: 4.4806 4.4806 4.4806 Å, 136.19 136.19 63.69°
Closest atoms and distances in Å follow each position.
Positions (direct):
Be 0.0000 0.0000 0.0000  4 Li 2.36, 4 Re 2.53, 4 Be 2.53
Be 0.2500 0.7500 0.5000  4 Re 2.36, 4 Li 2.53, 4 Be 2.53
Li 0.5000 0.5000 0.0000  8 Be 2.36-2.53, 4 Re 2.53
Re 0.7500 0.2500 0.5000  8 Be 2.36-2.53, 4 Li 2.53

Calculated values
M_tot   0.00 μB/atom
Calculated total energy   -5.21 eV per atom
Calculated volume   10.64 Å³ per atom
DOS at the Fermi energy   1.68 states/eV/cell
Symmetry   I-4m2



[8]
LaInRu | PBE | relaxed

Cell: 4.9333 4.9333 4.9333 Å, 60.00 60.00 60.00°
Closest atoms and distances in Å follow each position.
Positions (direct):
La 0.7500 0.7500 0.7500  4 In 3.02, 4 Ru 3.02
In 0.5000 0.5000 0.5000  4 La 3.02
Ru 0.0000 0.0000 0.0000  4 La 3.02

Calculated values
M_tot   0.00 μB/atom
Calculated total energy   -4.97 eV per atom
Calculated volume   28.30 Å³ per atom
DOS at the Fermi energy   1.91 states/eV/cell
Symmetry   F-43m